Here is an optimized crystal structure of Ca2TaHg from the Alexandria database. Energies are from GGA-PBE.

Geometry as POSCAR:
```
Ca2TaHg
1.0
3.319 0.000 0.000
0.000 3.319 0.000
0.000 0.000 9.661
Ca Ta Hg
2 1 1
direct
0.000 0.000 0.000
0.500 0.500 0.340
0.500 0.500 0.762
0.000 0.000 0.568
```

## Properties
As for the energy of formation: 0.33 eV per atom. The symmetry is P4mm, No. 99. The value obtained for the density is 7.2 g/cm3.